1.
A plane-wave DFT calculation with PBE was carried out for crystalline Pm2SmGa2 at its relaxed geometry.

Lattice parameters (Å, degrees): 7.7770 7.7770 4.5148 90.00 90.00 90.00
Closest atoms and distances in Å follow each position.
Space group P4/mbm (No. 127)
One atom of each set of equivalent atoms:
Pm1 0.1743 0.3257 0.0000 [4 per cell]  6 Ga 3.21-3.23
Sm1 0.0000 0.0000 0.5000 [2 per cell]  4 Ga 3.11
Ga1 0.1180 0.6180 0.5000 [4 per cell]  1 Ga 2.60

Calculated values
offset from the most stable computed form: 0 meV/atom

=====

2.
A plane-wave DFT calculation with PBE was carried out for crystalline Pm6Sm2Ga at its relaxed geometry.

Lattice parameters (Å, degrees): 9.5165 9.5165 3.7193 90.00 90.00 120.00
Closest atoms and distances in Å follow each position.
Space group P-62m (No. 189)
One atom of each set of equivalent atoms:
Pm1 0.0000 0.3778 0.0000 [3 per cell]  4 Sm 3.52, 1 Ga 3.59, 8 Pm 3.69-3.92
Pm2 0.0000 0.7401 0.5000 [3 per cell]  2 Ga 3.09
Sm1 0.3333 0.6667 0.5000 [2 per cell]  9 Pm 3.52-3.57, 2 Sm 3.72
Ga1 0.0000 0.0000 0.0000 [1 per cell]  6 Pm 3.09

=====

3.
A plane-wave DFT calculation with PBE was carried out for crystalline PmSm4Ga at its relaxed geometry.

Lattice parameters (Å, degrees): 8.9854 13.7788 6.3928 90.00 109.19 90.00
Closest atoms and distances in Å follow each position.
Space group C2/c (No. 15)
One atom of each set of equivalent atoms:
Pm1 0.0000 0.0990 0.2500 [4 per cell]  10 Sm 3.42-3.83
Sm1 0.1018 0.3202 0.5506 [8 per cell]  2 Ga 3.06-3.08, 1 Sm 3.36
Sm2 0.2231 0.1079 0.8738 [8 per cell]  2 Ga 3.20-3.21, 2 Sm 3.36-3.54, 1 Pm 3.42
Ga1 0.0000 0.4999 0.2500 [4 per cell]  8 Sm 3.06-3.21, 2 Ga 3.20

=====

4.
A plane-wave DFT calculation with PBE was carried out for crystalline Pm2Sm2Ga at its relaxed geometry.

Lattice parameters (Å, degrees): 4.2787 4.2787 18.0161 90.00 90.00 90.00
Closest atoms and distances in Å follow each position.
Space group I4/mmm (No. 139)
One atom of each set of equivalent atoms:
Pm1 0.0000 0.5000 0.2500 [4 per cell]  4 Pm 3.03
Sm1 0.0000 0.0000 0.0831 [4 per cell]  1 Sm 2.99
Ga1 0.0000 0.0000 0.5000 [2 per cell]  8 Sm 3.38

=====

5.
A plane-wave DFT calculation with PBE was carried out for crystalline PmSm2Ga at its relaxed geometry.

Lattice parameters (Å, degrees): 4.2619 12.1175 9.3141 90.00 90.00 90.00
Closest atoms and distances in Å follow each position.
Space group Cmcm (No. 63)
One atom of each set of equivalent atoms:
Pm1 0.0000 0.0599 0.2500 [4 per cell]  2 Ga 3.10
Sm1 0.0000 0.3564 0.0545 [8 per cell]  3 Ga 3.10-3.11
Ga1 0.0000 0.2542 0.7500 [4 per cell]  6 Sm 3.10-3.11, 2 Pm 3.10

Calculated values
offset from the most stable computed form: 21 meV/atom

=====

6.
A plane-wave DFT calculation with PBE was carried out for crystalline PmSm5Ga2 at its relaxed geometry.

Lattice parameters (Å, degrees): 4.3853 9.7654 11.1114 90.00 90.00 90.00
Closest atoms and distances in Å follow each position.
Space group Immm (No. 71)
One atom of each set of equivalent atoms:
Pm1 0.0000 0.0000 0.0000 [2 per cell]  4 Ga 3.25
Sm1 0.0000 0.1989 0.3478 [8 per cell]  3 Ga 3.03-3.27, 5 Sm 3.25-3.38
Sm2 0.0000 0.5000 0.0000 [2 per cell]  2 Ga 3.15, 8 Sm 3.38
Ga1 0.0000 0.5000 0.2836 [4 per cell]  7 Sm 3.03-3.27, 2 Pm 3.25

=====

7.
A plane-wave DFT calculation with PBE was carried out for crystalline Pm2SmGa at its relaxed geometry.

Lattice parameters (Å, degrees): 4.2351 12.1387 9.3846 90.00 90.00 90.00
Closest atoms and distances in Å follow each position.
Space group Cmcm (No. 63)
One atom of each set of equivalent atoms:
Pm1 0.0000 0.1427 0.0547 [8 per cell]  3 Ga 3.11-3.12
Sm1 0.0000 0.4397 0.2500 [4 per cell]  2 Ga 3.07
Ga1 0.0000 0.2439 0.7500 [4 per cell]  2 Sm 3.07, 6 Pm 3.11-3.12

Calculated values
offset from the most stable computed form: 13 meV/atom

=====

8.
A plane-wave DFT calculation with PBE was carried out for crystalline PmSm2Ga at its relaxed geometry.

Lattice parameters (Å, degrees): 3.5866 3.5866 9.1103 90.00 90.00 90.00
Closest atoms and distances in Å follow each position.
Space group P4/mmm (No. 123)
One atom of each set of equivalent atoms:
Pm1 0.0000 0.0000 0.0000 [1 per cell]  4 Pm 3.59, 8 Sm 3.67
Sm1 0.5000 0.5000 0.2918 [2 per cell]  4 Ga 3.17
Ga1 0.0000 0.0000 0.5000 [1 per cell]  8 Sm 3.17

Calculated values
offset from the most stable computed form: 0 meV/atom

=====

| no. | calculated formation energy (eV per formula unit) |
| --- | --- |
| 1 | -2.5 |
| 2 | -1.0 |
| 3 | -0.6 |
| 4 | 1.6 |
| 5 | -1.0 |
| 6 | -1.3 |
| 7 | -1.0 |
| 8 | -1.0 |